1.
VASP calculation (PBE-GGA) on an optimized crystal structure of Ag2GeMoRh.

Structure (POSCAR):
```
Ag2GeMoRh
1.0
5.080 0.000 0.000
0.000 5.080 0.000
0.000 0.000 4.512
Ag Ge Mo Rh
2 1 1 1
Cartesian
0.000 2.540 0.000
2.540 0.000 0.000
0.000 0.000 2.256
2.540 2.540 2.256
0.000 0.000 0.000
```

* total moment: 4.23 Bohr magnetons per cell
* space group: P4/mmm
* formation energy from the elements: 5.61 eV per formula unit
* electronic total energy: -4.577 eV/atom

***

2.
VASP calculation (PBE-GGA) on an optimized crystal structure of AgGeMoRu2.

Structure (POSCAR):
```
AgGeMoRu2
1.0
4.640 0.000 0.000
0.000 4.640 0.000
0.000 0.000 5.276
Ag Ge Mo Ru
1 1 1 2
Cartesian
0.000 0.000 0.000
2.320 2.320 0.000
0.000 0.000 2.638
0.000 2.320 2.638
2.320 0.000 2.638
```

* total moment: 0.00 Bohr magnetons per cell
* space group: P4/mmm
* formation energy from the elements: 7.50 eV per formula unit
* electronic total energy: -5.870 eV/atom

***

3.
VASP calculation (PBE-GGA) on an optimized crystal structure of Ta2AgGeMo.

Structure (POSCAR):
```
Ta2AgGeMo
1.0
4.768 0.000 0.000
0.000 4.768 0.000
0.000 0.000 5.162
Ta Ag Ge Mo
2 1 1 1
Cartesian
0.000 2.384 0.000
2.384 0.000 0.000
0.000 0.000 2.581
2.384 2.384 2.581
0.000 0.000 0.000
```

* total moment: 0.00 Bohr magnetons per cell
* space group: P4/mmm
* formation energy from the elements: 7.59 eV per formula unit
* electronic total energy: -6.883 eV/atom